The following is a DFT calculation (PBE) of Th4InH3Rh12 after structural relaxation.

Lattice parameters (Å, degrees): 7.460 7.460 7.460 109.47 109.47 109.47
Fractional positions:
Th1 0.500 0.500 0.500
Th2 0.000 0.000 0.500
Th3 0.500 0.000 0.000
Th4 0.000 0.500 0.000
In1 0.000 0.000 0.000
H1 0.500 0.000 0.500
H2 0.500 0.500 0.000
H3 0.000 0.500 0.500
Rh1 0.250 0.500 0.750
Rh2 0.705 0.000 0.705
Rh3 0.295 0.000 0.295
Rh4 0.750 0.500 0.250
Rh5 0.705 0.705 0.000
Rh6 0.295 0.295 0.000
Rh7 0.750 0.250 0.500
Rh8 0.250 0.750 0.500
Rh9 0.500 0.250 0.750
Rh10 0.000 0.705 0.705
Rh11 0.500 0.750 0.250
Rh12 0.000 0.295 0.295

## Properties
As for the total energy: -7.13 eV/atom. As for the crystal system: cubic.